Record 1
BaCo2Sb | GGA-PBE | relaxed

Cell: 4.8396 4.8396 3.4779 Å, 90.00 90.00 90.00°
Closest atoms and distances in Å follow each position.
Fractional coordinates of all 4 atoms:
Ba 0.0000 0.0000 0.0000  8 Co 2.98
Co 0.0000 0.5000 0.5000  4 Ba 2.98, 4 Sb 2.98
Co 0.5000 0.0000 0.5000  4 Ba 2.98, 4 Sb 2.98
Sb 0.5000 0.5000 0.0000  8 Co 2.98

Output
Space-group type: P4/mmm (123)
Crystal system: tetragonal
E_tot (eV/cell): -18.07

=====

Record 2
CsSr2As2 | GGA-PBE | relaxed

Cell: 7.3766 7.3766 7.3766 Å, 136.54 136.54 63.15°
Closest atoms and distances in Å follow each position.
Fractional coordinates of all 5 atoms:
Cs 0.0000 0.0000 0.0000  8 As 4.16, 8 Sr 4.16
Sr 0.2500 0.7500 0.5000  4 As 3.17
Sr 0.7500 0.2500 0.5000  4 As 3.17
As 0.3776 0.3776 0.0000  1 As 3.08, 4 Sr 3.17
As 0.6224 0.6224 0.0000  1 As 3.08, 4 Sr 3.17

Output
DFT formation energy (meV/atom): -668
Space-group type: I4/mmm (139)
Crystal system: tetragonal

=====

Record 3
MgZr2Pb | GGA-PBE | relaxed

Cell: 10.7973 10.7973 10.7973 Å, 17.18 17.18 17.18°
Closest atoms and distances in Å follow each position.
Fractional coordinates of all 4 atoms:
Mg 0.0000 0.0000 0.0000  6 Mg 3.23, 6 Zr 3.27
Zr 0.2489 0.2489 0.2489  3 Pb 3.22, 6 Zr 3.23, 3 Mg 3.27
Zr 0.4174 0.4174 0.4174  3 Pb 3.22, 6 Zr 3.23, 3 Mg 3.27
Pb 0.8332 0.8332 0.8332  6 Zr 3.22, 6 Pb 3.23

Output
DFT formation energy (meV/atom): 60
Space-group type: R3m (160)
Crystal system: trigonal

=====

Record 4
LaDyScCd | GGA-PBE | relaxed

Cell: 3.6073 3.6073 8.6889 Å, 90.00 90.00 90.00°
Closest atoms and distances in Å follow each position.
Fractional coordinates of all 4 atoms:
La 0.0000 0.0000 0.0000  4 Sc 3.49, 4 La 3.61, 4 Dy 3.64
Dy 0.5000 0.5000 0.7012  4 Cd 3.27, 4 Dy 3.61, 4 La 3.64
Sc 0.5000 0.5000 0.2734  4 Cd 3.05
Cd 0.0000 0.0000 0.4657  4 Sc 3.05, 4 Dy 3.27

Output
DFT formation energy (meV/atom): -115
Space-group type: P4mm (99)
Crystal system: tetragonal

=====

Record 5
PSe2S | GGA-PBE | relaxed

Cell: 4.6558 4.6558 4.6558 Å, 60.00 60.00 60.00°
Closest atoms and distances in Å follow each position.
Fractional coordinates of all 4 atoms:
P 0.0000 0.0000 0.0000  8 Se 2.85
Se 0.2500 0.2500 0.2500  4 S 2.85, 4 P 2.85
Se 0.7500 0.7500 0.7500  4 S 2.85, 4 P 2.85
S 0.5000 0.5000 0.5000  8 Se 2.85

Output
Space-group type: Fm-3m (225)
Crystal system: cubic
E_tot (eV/cell): -13.37

=====

Record 6
Pm2YTh | GGA-PBE | relaxed

Cell: 11.8777 11.8777 11.8777 Å, 17.59 17.59 17.59°
Closest atoms and distances in Å follow each position.
Fractional coordinates of all 4 atoms:
Pm 0.0000 0.0000 0.0000  3 Th 3.56, 3 Y 3.63, 6 Pm 3.63
Pm 0.1695 0.1695 0.1695  3 Th 3.56, 6 Pm 3.63, 3 Y 3.65
Y 0.7510 0.7510 0.7510  6 Pm 3.63-3.65, 6 Y 3.63
Th 0.5847 0.5847 0.5847  6 Pm 3.56, 6 Th 3.63

Output
DFT formation energy (meV/atom): 21
Space-group type: R3m (160)
Crystal system: trigonal

=====

Record 7
ScZnAgRu | GGA-PBE | relaxed

Cell: 4.5175 4.5175 4.5175 Å, 60.00 60.00 60.00°
Closest atoms and distances in Å follow each position.
Fractional coordinates of all 4 atoms:
Sc 0.0000 0.0000 0.0000  4 Ru 2.77, 4 Ag 2.77
Zn 0.5000 0.5000 0.5000  4 Ru 2.77, 4 Ag 2.77
Ag 0.2500 0.2500 0.2500  4 Zn 2.77, 4 Sc 2.77
Ru 0.7500 0.7500 0.7500  4 Sc 2.77, 4 Zn 2.77

Output
DFT formation energy (meV/atom): -209
Space-group type: F-43m (216)
Crystal system: cubic

=====

Record 8
Zr6AsS | GGA-PBE | relaxed

Cell: 6.7411 6.7411 6.7411 Å, 53.38 53.38 53.38°
Closest atoms and distances in Å follow each position.
Fractional coordinates of all 8 atoms:
Zr 0.0664 0.7448 0.4473  1 S 2.49, 1 As 2.60
Zr 0.2552 0.5527 0.9336  1 S 2.49, 1 As 2.60
Zr 0.4473 0.0664 0.7448  1 S 2.49, 1 As 2.60
Zr 0.5527 0.9336 0.2552  1 S 2.49, 1 As 2.60
Zr 0.7448 0.4473 0.0664  1 S 2.49, 1 As 2.60
Zr 0.9336 0.2552 0.5527  1 S 2.49, 1 As 2.60
As 0.0000 0.0000 0.0000  6 Zr 2.60
S 0.5000 0.5000 0.5000  6 Zr 2.49

Output
Space-group type: R-3 (148)
Crystal system: trigonal
E_tot (eV/cell): -64.15

=====

Record 9
Al2ZnHg | GGA-PBE | relaxed

Cell: 2.9374 2.9374 9.7338 Å, 90.00 90.00 115.14°
Closest atoms and distances in Å follow each position.
Fractional coordinates of all 4 atoms:
Al 0.0000 0.0000 0.0000  2 Zn 2.72, 6 Al 2.82-2.94
Al 0.5000 0.5000 0.2400  8 Al 2.82-3.15, 2 Hg 3.09
Zn 0.5000 0.5000 0.7724  2 Al 2.72, 4 Zn 2.94, 2 Hg 2.98
Hg 0.0000 0.0000 0.5128  6 Hg 2.94-3.15, 2 Zn 2.98, 2 Al 3.09

Output
DFT formation energy (meV/atom): 188
Space-group type: Cmm2 (35)
Crystal system: orthorhombic

=====

Record 10
HoZnBi | GGA-PBE | relaxed

Cell: 4.4975 4.4975 4.3752 Å, 90.00 90.00 120.00°
Closest atoms and distances in Å follow each position.
Fractional coordinates of all 3 atoms:
Ho 0.0000 0.0000 0.0000  3 Zn 2.89
Zn 0.3333 0.6667 0.7117  3 Bi 2.85, 3 Ho 2.89
Bi 0.6667 0.3333 0.4453  3 Zn 2.85

Output
DFT formation energy (meV/atom): -386
Space-group type: P3m1 (156)
Crystal system: trigonal

=====

Record 11
Zn2HgTe3 | GGA-PBE | relaxed

Cell: 7.7550 7.7550 7.7399 Å, 99.50 99.50 120.11°
Closest atoms and distances in Å follow each position.
Fractional coordinates of all 12 atoms:
Zn 0.0828 0.9172 0.5000  4 Te 2.67-2.69
Zn 0.2466 0.7539 0.0012  4 Te 2.67-2.70
Zn 0.7539 0.2466 0.5012  4 Te 2.67-2.70
Zn 0.9172 0.0828 0.0000  4 Te 2.67-2.69
Hg 0.4115 0.5854 0.4995  4 Te 2.86-2.87
Hg 0.5854 0.4115 0.9995  4 Te 2.86-2.87
Te 0.0249 0.1892 0.3677  3 Zn 2.68-2.69, 1 Hg 2.86
Te 0.1892 0.0249 0.8677  3 Zn 2.68-2.69, 1 Hg 2.86
Te 0.3720 0.8928 0.3696  3 Zn 2.68-2.70, 1 Hg 2.87
Te 0.5432 0.7276 0.8901  2 Zn 2.67, 2 Hg 2.86-2.87
Te 0.7276 0.5432 0.3901  2 Zn 2.67, 2 Hg 2.86-2.87
Te 0.8928 0.3720 0.8696  3 Zn 2.68-2.70, 1 Hg 2.87

Output
Space-group type: Cc (9)
Crystal system: monoclinic
E_tot (eV/cell): -28.87

=====

Record 12
NpCoPH | GGA-PBE | relaxed

Cell: 3.7796 3.7796 7.1431 Å, 90.00 90.00 90.00°
Closest atoms and distances in Å follow each position.
Fractional coordinates of all 8 atoms:
Np 0.2500 0.2500 0.1666  4 H 2.23
Np 0.7500 0.7500 0.8334  4 H 2.23
Co 0.2500 0.7500 0.5000  4 P 2.26
Co 0.7500 0.2500 0.5000  4 P 2.26
P 0.2500 0.2500 0.6735  4 Co 2.26
P 0.7500 0.7500 0.3265  4 Co 2.26
H 0.2500 0.7500 0.0000  4 Np 2.23
H 0.7500 0.2500 0.0000  4 Np 2.23

Output
Space-group type: P4/nmm (129)
Crystal system: tetragonal
E_tot (eV/cell): -62.65

=====

Record 13
CdIrPt2 | GGA-PBE | relaxed

Cell: 9.6931 9.6931 9.6931 Å, 156.65 156.65 33.25°
Closest atoms and distances in Å follow each position.
Fractional coordinates of all 8 atoms:
Cd 0.0000 0.0000 0.0000  4 Pt 2.73, 4 Ir 2.77
Cd 0.7500 0.2500 0.5000  4 Pt 2.73, 4 Ir 2.77
Ir 0.2500 0.7500 0.5000  4 Pt 2.68, 4 Cd 2.77
Ir 0.5000 0.5000 0.0000  4 Pt 2.68, 4 Cd 2.77
Pt 0.1437 0.6250 0.0187  4 Pt 2.67-2.88, 2 Ir 2.68, 2 Cd 2.73
Pt 0.3750 0.3937 0.5187  4 Pt 2.67-2.88, 2 Ir 2.68, 2 Cd 2.73
Pt 0.6063 0.1250 0.9813  4 Pt 2.67-2.88, 2 Ir 2.68, 2 Cd 2.73
Pt 0.8750 0.8563 0.4813  4 Pt 2.67-2.88, 2 Ir 2.68, 2 Cd 2.73

Output
DFT formation energy (meV/atom): 344
Space-group type: I-42d (122)
Crystal system: tetragonal

=====

Record 14
Mg2CuW | GGA-PBE | relaxed

Cell: 2.7365 4.4562 5.5789 Å, 90.00 102.17 90.00°
Closest atoms and distances in Å follow each position.
Fractional coordinates of all 4 atoms:
Mg 0.0000 0.0000 0.0000  1 Cu 2.61, 4 Mg 2.74-2.91, 2 W 2.87
Mg 0.2969 0.5000 0.7267  4 Mg 2.74-2.91, 2 Cu 2.74, 3 W 2.82-3.04
Cu 0.4378 0.0000 0.4636  3 Mg 2.61-2.74, 2 W 2.67, 2 Cu 2.74
W 0.6819 0.5000 0.2531  2 Cu 2.67, 2 W 2.74, 4 Mg 2.82-2.90

Output
DFT formation energy (meV/atom): 406
Space-group type: Pm (6)
Crystal system: monoclinic

=====

Record 15
LiCaHIr | GGA-PBE | relaxed

Cell: 4.4755 4.4755 3.5514 Å, 90.00 90.00 120.00°
Closest atoms and distances in Å follow each position.
Fractional coordinates of all 4 atoms:
Li 0.0000 0.0000 0.0000  3 Ir 2.58
Ca 0.3333 0.6667 0.5000  3 H 2.58
H 0.6667 0.3333 0.5000  2 Ir 1.78
Ir 0.6667 0.3333 0.0000  2 H 1.78

Output
Space-group type: P-6m2 (187)
Crystal system: hexagonal
E_tot (eV/cell): -17.19

=====

Record 16
Pm2Er5Tm2 | GGA-PBE | relaxed

Cell: 10.0071 10.0071 10.0071 Å, 84.28 108.90 140.87°
Closest atoms and distances in Å follow each position.
Fractional coordinates of all 18 atoms:
Pm 0.0062 0.1275 0.1337  4 Er 3.30-3.60, 2 Tm 3.50-3.54, 1 Pm 3.64
Pm 0.0062 0.3725 0.3788  4 Er 3.30-3.60, 2 Tm 3.50-3.54, 1 Pm 3.64
Pm 0.9938 0.6275 0.6212  4 Er 3.30-3.60, 2 Tm 3.50-3.54, 1 Pm 3.64
Pm 0.9938 0.8725 0.8663  4 Er 3.30-3.60, 2 Tm 3.50-3.54, 1 Pm 3.64
Er 0.1076 0.2959 0.7058  4 Er 3.15-3.36, 1 Tm 3.22, 1 Pm 3.30
Er 0.1076 0.9018 0.3117  4 Er 3.15-3.36, 1 Tm 3.22, 1 Pm 3.30
Er 0.4036 0.3998 0.5038  6 Er 3.22-3.55, 1 Tm 3.33, 2 Pm 3.55
Er 0.4334 0.0274 0.1201  4 Er 3.15-3.36, 1 Pm 3.34, 1 Tm 3.39
Er 0.4334 0.8133 0.9060  4 Er 3.15-3.36, 1 Pm 3.34, 1 Tm 3.39
Er 0.5901 0.4018 0.2942  4 Er 3.15-3.36, 1 Tm 3.22, 1 Pm 3.30
Er 0.5901 0.7959 0.6883  4 Er 3.15-3.36, 1 Tm 3.22, 1 Pm 3.30
Er 0.8960 0.8998 0.4962  6 Er 3.22-3.55, 1 Tm 3.33, 2 Pm 3.55
Er 0.9073 0.3133 0.8799  4 Er 3.15-3.36, 1 Pm 3.34, 1 Tm 3.39
Er 0.9073 0.5274 0.0940  4 Er 3.15-3.36, 1 Pm 3.34, 1 Tm 3.39
Tm 0.4309 0.6954 0.2355  4 Er 3.33-3.70, 2 Pm 3.50
Tm 0.4598 0.1954 0.7645  4 Er 3.33-3.70, 2 Pm 3.50
Tm 0.5543 0.0543 0.5000  4 Er 3.22-3.56, 2 Pm 3.54
Tm 0.5543 0.5543 0.0000  4 Er 3.22-3.56, 2 Pm 3.54

Output
DFT formation energy (meV/atom): 222
Space-group type: Ima2 (46)
Crystal system: orthorhombic